Record 1
Below is crystalline Ba2SrH6Ir at its relaxed geometry, with properties calculated at the GGA-PBE level.

The space group is P-3m1 (No. 164) and the conventional cell measures 5.6946, 5.6946 and 6.6776 Å, with angles of 90.00, 90.00 and 120.00 degrees. The inequivalent atoms are Ba at (0.3333, 0.6667, 0.3278), Sr at (0.0000, 0.0000, 0.0000), H at (0.1402, 0.2805, 0.6518) and Ir at (0.0000, 0.0000, 0.5000).

The calculation puts the energy at -3.918 eV/atom. The total magnetization is 0.00 μB per formula unit.

---

Record 2
Below is crystalline La3TbAl8 at its relaxed geometry, with properties calculated at the GGA-PBE level.

The space group is R3m (No. 160, hexagonal axes) and the conventional cell measures 5.7057, 5.7057 and 28.0127 Å, with angles of 90.00, 90.00 and 120.00 degrees. The inequivalent atoms are La at (0.0000, 0.0000, 0.0000), La at (0.0000, 0.0000, 0.1249), La at (0.0000, 0.0000, 0.6261), Tb at (0.0000, 0.0000, 0.5004), Al at (0.0000, 0.0000, 0.3124), Al at (0.0000, 0.0000, 0.8132), Al at (0.0011, 0.5006, 0.0643) and Al at (0.1672, 0.3344, 0.8948).

Its energy of formation is -0.498 eV per atom. The total magnetization is 0.00 μB per formula unit.

---

Record 3
Below is crystalline Rb2TcOsF6 at its relaxed geometry, with properties calculated at the GGA-PBE level.

The space group is Fm-3m (No. 225) and the conventional cell measures 8.8277, 8.8277 and 8.8277 Å, with angles of 90.00, 90.00 and 90.00 degrees. The inequivalent atoms are Rb at (0.2500, 0.2500, 0.2500), Tc at (0.0000, 0.0000, 0.0000), Os at (0.0000, 0.0000, 0.5000) and F at (0.0000, 0.0000, 0.2589).

The calculation puts the formation energy from raw total energies at -1.57 eV per atom. The total magnetization is 5.00 μB per formula unit.

---

Record 4
Below is crystalline PaMn2H6 at its relaxed geometry, with properties calculated at the GGA-PBE level.

The space group is Cmmm (No. 65) and the conventional cell measures 4.3263, 7.7014 and 4.2236 Å, with angles of 90.00, 90.00 and 90.00 degrees. The inequivalent atoms are Pa at (0.0000, 0.0000, 0.0000), Mn at (0.0000, 0.3361, 0.5000), H at (0.2407, 0.0000, 0.5000) and H at (0.2500, 0.2500, 0.2192).

The calculation puts the energy at -5.507 eV/atom. The total magnetization is 4.47 μB per formula unit.

---

Record 5
Below is crystalline HoBePt3 at its relaxed geometry, with properties calculated at the GGA-PBE level.

The space group is Pm-3m (No. 221) and the conventional cell measures 4.3606, 4.3606 and 4.3606 Å, with angles of 90.00, 90.00 and 90.00 degrees. The inequivalent atoms are Ho at (0.0000, 0.0000, 0.0000), Be at (0.5000, 0.5000, 0.5000) and Pt at (0.0000, 0.5000, 0.5000).

Its energy of formation is -0.843 eV per atom. The total magnetization is 0.00 μB per formula unit.

---

Record 6
Below is crystalline Sr2ScTc at its relaxed geometry, with properties calculated at the GGA-PBE level.

The space group is P4/mmm (No. 123) and the conventional cell measures 4.5854, 4.5854 and 5.1647 Å, with angles of 90.00, 90.00 and 90.00 degrees. The inequivalent atoms are Sr at (0.0000, 0.5000, 0.0000), Sc at (0.0000, 0.0000, 0.5000) and Tc at (0.5000, 0.5000, 0.5000).

Its energy of formation is 0.749 eV per atom. The total magnetization is 0.01 μB per formula unit.

---

Record 7
Below is crystalline Ca3GeSb2 at its relaxed geometry, with properties calculated at the GGA-PBE level.

The space group is Pnma (No. 62) and the conventional cell measures 12.5214, 4.6126 and 12.3003 Å, with angles of 90.00, 90.00 and 90.00 degrees. The inequivalent atoms are Ca at (0.0510, 0.2500, 0.1197), Ca at (0.1152, 0.7500, 0.5470), Ca at (0.2364, 0.2500, 0.7825), Ge at (0.1223, 0.2500, 0.3663), Sb at (0.0047, 0.2500, 0.7006) and Sb at (0.1881, 0.7500, 0.0017).

The calculation puts the formation energy from raw total energies at -0.74 eV per atom. The total magnetization is 0.00 μB per formula unit.

---

Record 8
Below is crystalline Cr2CN2 at its relaxed geometry, with properties calculated at the GGA-PBE level.

The space group is I4/mmm (No. 139) and the conventional cell measures 4.1166, 4.1166 and 5.8567 Å, with angles of 90.00, 90.00 and 90.00 degrees. The inequivalent atoms are Cr at (0.0000, 0.5000, 0.2500), C at (0.0000, 0.0000, 0.0000) and N at (0.0000, 0.0000, 0.2318).

The calculation puts the formation energy from raw total energies at 0.47 eV per atom. The total magnetization is 5.46 μB per formula unit.

---

Record 9
Below is crystalline DyErSe at its relaxed geometry, with properties calculated at the GGA-PBE level.

The space group is I4mm (No. 107) and the conventional cell measures 3.5764, 3.5764 and 12.1831 Å, with angles of 90.00, 90.00 and 90.00 degrees. The inequivalent atoms are Dy at (0.0000, 0.0000, 0.0000), Er at (0.0000, 0.0000, 0.2923) and Se at (0.0000, 0.0000, 0.6479).

The calculation puts the formation energy from raw total energies at -0.95 eV per atom. The total magnetization is 0.00 μB per formula unit.

---

Record 10
Below is crystalline Tm8C3Se4N at its relaxed geometry, with properties calculated at the GGA-PBE level.

The space group is R-3m (No. 166, hexagonal axes) and the conventional cell measures 7.3591, 7.3591 and 19.3505 Å, with angles of 90.00, 90.00 and 120.00 degrees. The inequivalent atoms are Tm at (0.0000, 0.0000, 0.2344), Tm at (0.0015, 0.5008, 0.7666), C at (0.0000, 0.5000, 0.5000), Se at (0.0000, 0.0000, 0.0000), Se at (0.0000, 0.5000, 0.0000) and N at (0.0000, 0.0000, 0.5000).

The calculation puts the formation energy from raw total energies at -1.35 eV per atom. The total magnetization is 0.00 μB per formula unit.

---

Record 11
Below is crystalline PmHgI3 at its relaxed geometry, with properties calculated at the GGA-PBE level.

The space group is Pm-3m (No. 221) and the conventional cell measures 6.1835, 6.1835 and 6.1835 Å, with angles of 90.00, 90.00 and 90.00 degrees. The inequivalent atoms are Pm at (0.0000, 0.0000, 0.0000), Hg at (0.5000, 0.5000, 0.5000) and I at (0.0000, 0.0000, 0.5000).

The calculation puts the formation energy from raw total energies at -1.01 eV per atom. The total magnetization is 0.00 μB per formula unit.

---

What did the first record say?
Below is crystalline Ba2SrH6Ir at its relaxed geometry, with properties calculated at the GGA-PBE level.

The space group is P-3m1 (No. 164) and the conventional cell measures 5.6946, 5.6946 and 6.6776 Å, with angles of 90.00, 90.00 and 120.00 degrees. The inequivalent atoms are Ba at (0.3333, 0.6667, 0.3278), Sr at (0.0000, 0.0000, 0.0000), H at (0.1402, 0.2805, 0.6518) and Ir at (0.0000, 0.0000, 0.5000).

The calculation puts the energy at -3.918 eV/atom. The total magnetization is 0.00 μB per formula unit.

---

Please write out number 4 again, unchanged.
Below is crystalline PaMn2H6 at its relaxed geometry, with properties calculated at the GGA-PBE level.

The space group is Cmmm (No. 65) and the conventional cell measures 4.3263, 7.7014 and 4.2236 Å, with angles of 90.00, 90.00 and 90.00 degrees. The inequivalent atoms are Pa at (0.0000, 0.0000, 0.0000), Mn at (0.0000, 0.3361, 0.5000), H at (0.2407, 0.0000, 0.5000) and H at (0.2500, 0.2500, 0.2192).

The calculation puts the energy at -5.507 eV/atom. The total magnetization is 4.47 μB per formula unit.

---

Copy entry 9 word for word.
Below is crystalline DyErSe at its relaxed geometry, with properties calculated at the GGA-PBE level.

The space group is I4mm (No. 107) and the conventional cell measures 3.5764, 3.5764 and 12.1831 Å, with angles of 90.00, 90.00 and 90.00 degrees. The inequivalent atoms are Dy at (0.0000, 0.0000, 0.0000), Er at (0.0000, 0.0000, 0.2923) and Se at (0.0000, 0.0000, 0.6479).

The calculation puts the formation energy from raw total energies at -0.95 eV per atom. The total magnetization is 0.00 μB per formula unit.

---

The highest total magnetization belongs to which entry?
Cr2CN2